Here is crystalline Th2Zn3Ni2 at its relaxed geometry from Alexandria. Energies are from PBE.

## Properties
* energy relative to the elements: -384 meV/atom
* polymorph energy (0 for the lowest one): 0 meV per atom

Unit cell a=9.7701 b=4.1745 c=7.0178 alpha=90.00 beta=113.81 gamma=90.00
Space group C2/m (No. 12)
Asymmetric unit:
1 Th 0.1420 0.0000 0.2758 (multiplicity 4)
2 Zn 0.0000 0.5000 0.5000 (multiplicity 2)
3 Zn 0.1340 0.5000 0.9352 (multiplicity 4)
4 Ni 0.1400 0.0000 0.7027 (multiplicity 4)